[1]
LiPm2Pd9 | Alexandria via LeMat-Bulk | GGA-PBE | optimized geometry; SG = No. 123; DFT formation energy = -594.8 meV per atom; final energy = -5.441 eV/atom; crystal system = tetragonal
1.0
4.176 0.000 0.000
0.000 4.176 0.000
0.000 0.000 11.827
Pd Pm Li
9 2 1
Cartesian
2.088 2.088 0.000
0.000 2.088 10.068
2.088 0.000 5.913
2.088 2.088 3.832
0.000 2.088 5.913
2.088 0.000 10.068
0.000 2.088 1.759
2.088 2.088 7.995
2.088 0.000 1.759
0.000 0.000 3.814
0.000 0.000 8.013
0.000 0.000 0.000

[2]
LiPmPrPd | Alexandria via LeMat-Bulk | GGA-PBE | optimized geometry; SG = No. 216; DFT formation energy = -310.6 meV per atom; final energy = -4.470 eV/atom; crystal system = cubic
1.0
-1.110 3.965 3.168
-4.877 1.754 0.355
-2.749 -0.826 4.330
Pd Pr Li Pm
1 1 1 1
Cartesian
-4.368 2.447 3.926
-2.184 1.223 1.963
0.000 0.000 0.000
-6.552 3.670 5.890

[3]
LiPmPdPt | Alexandria via LeMat-Bulk | GGA-PBE | optimized geometry; SG = No. 216; DFT formation energy = -734.4 meV per atom; final energy = -5.209 eV/atom; energy above the most stable polymorph in this dataset = 0 meV per atom; crystal system = cubic
1.0
4.786 0.000 0.000
2.393 4.145 0.000
2.393 1.382 3.908
Pd Li Pt Pm
1 1 1 1
Cartesian
2.393 1.382 0.977
4.786 2.763 1.954
7.179 4.145 2.931
0.000 0.000 0.000

[4]
LiPmPdPt | Alexandria via LeMat-Bulk | GGA-PBE | optimized geometry; SG = No. 47; DFT formation energy = -314.1 meV per atom; final energy = -4.789 eV/atom; energy above the most stable polymorph in this dataset = 420 meV per atom; crystal system = orthorhombic
1.0
-2.553 -1.063 -2.575
2.818 -2.927 -1.586
-1.892 -3.657 3.387
Li Pm Pt Pd
1 1 1 1
Cartesian
1.409 -1.463 -0.793
-0.814 -3.824 -0.387
-0.946 -1.829 1.693
0.000 0.000 0.000

[5]
LiPmPuPd | Alexandria via LeMat-Bulk | GGA-PBE | optimized geometry; SG = No. 216; DFT formation energy = -157.2 meV per atom; final energy = -6.705 eV/atom; crystal system = cubic
1.0
5.079 0.000 0.000
2.539 4.398 0.000
2.539 1.466 4.147
Pu Pd Pm Li
1 1 1 1
Cartesian
7.618 4.398 3.110
5.079 2.932 2.073
2.539 1.466 1.037
0.000 0.000 0.000

[6]
LiPmPdRh | Alexandria via LeMat-Bulk | GGA-PBE | optimized geometry; SG = No. 216; DFT formation energy = -495.7 meV per atom; final energy = -5.298 eV/atom; crystal system = cubic
1.0
4.700 0.000 0.000
2.350 4.070 0.000
2.350 1.357 3.837
Rh Li Pd Pm
1 1 1 1
Cartesian
4.700 2.713 1.919
2.350 1.357 0.959
0.000 0.000 0.000
7.050 4.070 2.878

[7]
LiPmSb2Pd4 | Alexandria via LeMat-Bulk | GGA-PBE | optimized geometry; SG = No. 166; raw formation energy = -0.72 eV/atom; final energy = -5.175 eV/atom; crystal system = trigonal
1.0
-1.745 2.204 -3.555
-0.663 -2.182 -3.916
-8.594 -2.121 0.014
Pd Sb Pm Li
4 2 1 1
Cartesian
-7.841 -1.688 -2.976
-5.548 -0.835 -6.462
-3.162 -0.410 -4.480
-5.454 -1.263 -0.995
-8.087 -1.529 -5.645
-2.915 -0.570 -1.811
0.000 0.000 0.000
-5.501 -1.049 -3.728

[8]
LiPm2Sb3Pd4 | Alexandria via LeMat-Bulk | GGA-PBE | optimized geometry; SG = No. 115; raw formation energy = -0.84 eV/atom; final energy = -5.299 eV/atom; crystal system = tetragonal
1.0
4.488 0.000 0.000
0.000 4.488 0.000
0.000 0.000 10.687
Li Pd Sb Pm
1 4 3 2
Cartesian
2.244 2.244 5.344
2.244 2.244 0.000
0.000 2.244 4.040
0.000 0.000 0.000
2.244 0.000 6.647
0.000 0.000 5.344
2.244 0.000 9.201
0.000 2.244 1.486
2.244 0.000 2.557
0.000 2.244 8.130

[9]
LiPmSbPd | Alexandria via LeMat-Bulk | GGA-PBE | optimized geometry; SG = No. 216; raw formation energy = -0.73 eV/atom; final energy = -4.721 eV/atom; crystal system = cubic
1.0
-4.704 -1.035 0.680
-1.292 -4.235 2.013
-1.845 -0.091 4.500
Pm Pd Li Sb
1 1 1 1
Cartesian
-3.920 -2.681 3.596
-5.880 -4.022 5.395
-1.960 -1.341 1.798
0.000 0.000 0.000

[10]
LiPmScPd | Alexandria via LeMat-Bulk | GGA-PBE | optimized geometry; SG = No. 216; DFT formation energy = -349.5 meV per atom; final energy = -4.897 eV/atom; crystal system = cubic
1.0
-3.829 -1.558 -2.734
0.399 -4.145 -2.688
-2.502 -4.066 1.330
Pm Li Pd Sc
1 1 1 1
Cartesian
-1.483 -2.442 -1.023
0.000 0.000 0.000
-2.966 -4.885 -2.047
-4.449 -7.327 -3.070

[11]
Li2PmScPd4 | Alexandria via LeMat-Bulk | GGA-PBE | optimized geometry; SG = No. 166; DFT formation energy = -658.3 meV per atom; final energy = -5.118 eV/atom; crystal system = trigonal
1.0
4.438 0.000 0.000
2.219 3.844 0.000
2.219 1.281 8.386
Pd Li Pm Sc
4 2 1 1
Cartesian
2.219 1.281 5.226
6.657 3.844 3.160
4.438 2.562 1.516
4.438 2.562 6.869
6.657 3.844 6.060
2.219 1.281 2.326
0.000 0.000 0.000
4.438 2.562 4.193

[12]
LiPmSc2Pd4 | Alexandria via LeMat-Bulk | GGA-PBE | optimized geometry; SG = No. 166; DFT formation energy = -751.2 meV per atom; final energy = -5.764 eV/atom; crystal system = trigonal
1.0
-4.197 -1.205 -1.456
-1.282 -4.420 0.078
-4.764 -0.889 7.195
Pd Li Sc Pm
4 1 2 1
Cartesian
-6.046 -2.947 5.317
-6.585 -5.254 1.504
-3.658 -1.260 4.313
-4.197 -3.567 0.500
-5.121 -3.257 2.909
-7.554 -4.928 4.029
-2.689 -1.585 1.788
0.000 0.000 0.000

Total magnetic moment (μB/f.u.)
0.00 0.00 0.00 0.00 5.83 0.00 0.00 0.00 0.00 0.00 0.00 0.00